The following is a DFT calculation (PBE) of a relaxed Hf3HSe5 crystal.

Cell lengths 7.487, 7.487, 9.724 Å; angles 66.30, 66.30, 74.60 degrees
Site moments in Bohr magnetons follow the coordinates.
Sites, in units of the cell vectors:
Se: 0.292 0.708 0.000  0.00
Se: 0.773 0.773 0.016  0.01
Se: 0.227 0.227 0.984  0.01
Se: 0.620 0.030 0.636  -0.01
Se: 0.970 0.380 0.364  -0.01
Se: 0.708 0.292 0.000  0.00
Se: 0.380 0.970 0.364  -0.01
Se: 0.030 0.620 0.636  -0.01
Se: 0.552 0.552 0.645  0.00
Se: 0.448 0.448 0.355  0.00
Hf: 0.673 0.673 0.329  0.03
Hf: 0.000 0.000 0.500  0.37
Hf: 0.668 0.668 0.828  0.01
Hf: 0.327 0.327 0.671  0.03
Hf: 0.000 0.000 0.000  0.03
Hf: 0.332 0.332 0.172  0.01
H: 0.870 0.870 0.237  0.00
H: 0.130 0.130 0.763  0.00

Properties
* M_tot: 0.81 μB/cell
* raw total energy: -6.526 eV/atom
* mass density: 6.820 Mg/m³